No. 1
Compound: CsMgSc2Cl8
Source: Alexandria
Functional: GGA-PBE
Structure: optimized geometry

Cell: 6.6664 6.6664 29.0328 Å, 90.00 90.00 120.00°
Space group R-3 (No. 148, hexagonal axes)
Asymmetric unit:
Cs (0.0000, 0.0000, 0.0000) [3 per cell]
Mg (0.0000, 0.0000, 0.5000) [3 per cell]
Sc (0.0000, 0.0000, 0.2334) [6 per cell]
Cl (0.0000, 0.0000, 0.3150) [6 per cell]
Cl (0.0117, 0.3659, 0.2165) [18 per cell]

The calculation puts the total energy at -156.90 eV/cell. The uncorrected formation energy comes out at -2163 kJ/mol of formula units.

=====

No. 2
Compound: CsMg2ScCl8
Source: Alexandria
Functional: GGA-PBE
Structure: optimized geometry

Cell: 6.5258 6.5750 9.2572 Å, 72.74 74.15 72.18°
Space group P-1 (No. 2)
Asymmetric unit:
Cs (0.0000, 0.0000, 0.0000) [1 per cell]
Mg (0.4533, 0.4478, 0.2170) [2 per cell]
Sc (0.0000, 0.0000, 0.5000) [1 per cell]
Cl (0.1877, 0.7208, 0.7109) [2 per cell]
Cl (0.2592, 0.2304, 0.4519) [2 per cell]
Cl (0.2601, 0.7891, 0.3058) [2 per cell]
Cl (0.3719, 0.3122, 0.0285) [2 per cell]

The calculation puts the total energy at -48.06 eV/cell. The uncorrected formation energy comes out at -2211 kJ/mol of formula units.

=====

No. 3
Compound: CsSmMgCl6
Source: Alexandria
Functional: GGA-PBE
Structure: optimized geometry

Cell: 6.9087 6.9087 7.7607 Å, 90.00 90.00 120.00°
Space group P312 (No. 149)
Asymmetric unit:
Cs (0.0000, 0.0000, 0.0000) [1 per cell]
Sm (0.6667, 0.3333, 0.5000) [1 per cell]
Mg (0.3333, 0.6667, 0.5000) [1 per cell]
Cl (0.0190, 0.3888, 0.6932) [6 per cell]

The calculation puts the total energy at -37.22 eV/cell. The uncorrected formation energy comes out at -1831 kJ/mol of formula units.

=====

No. 4
Compound: CsMgSnCl6
Source: Alexandria
Functional: GGA-PBE
Structure: optimized geometry

Cell: 6.8032 6.8032 7.7790 Å, 90.00 90.00 120.00°
Space group P312 (No. 149)
Asymmetric unit:
Cs (0.0000, 0.0000, 0.0000) [1 per cell]
Mg (0.3333, 0.6667, 0.5000) [1 per cell]
Sn (0.6667, 0.3333, 0.5000) [1 per cell]
Cl (0.0133, 0.3868, 0.6919) [6 per cell]

The calculation puts the total energy at -30.79 eV/cell. The uncorrected formation energy comes out at -1279 kJ/mol of formula units.

=====

No. 5
Compound: Cs2MgSnCl6
Source: Alexandria
Functional: GGA-PBE
Structure: optimized geometry

Cell: 10.7569 10.7569 10.7569 Å, 90.00 90.00 90.00°
Space group Fm-3m (No. 225)
Asymmetric unit:
Cs (0.2500, 0.2500, 0.2500) [8 per cell]
Mg (0.0000, 0.0000, 0.0000) [4 per cell]
Sn (0.0000, 0.0000, 0.5000) [4 per cell]
Cl (0.0000, 0.0000, 0.2363) [24 per cell]

The calculation puts the total energy at -140.89 eV/cell. The uncorrected formation energy comes out at -1625 kJ/mol of formula units.

=====

No. 6
Compound: Cs2SrMgCl6
Source: Alexandria
Functional: GGA-PBE
Structure: optimized geometry

Cell: 10.7320 10.7320 10.7320 Å, 90.00 90.00 90.00°
Space group Fm-3m (No. 225)
Asymmetric unit:
Cs (0.2500, 0.2500, 0.2500) [8 per cell]
Sr (0.0000, 0.0000, 0.0000) [4 per cell]
Mg (0.0000, 0.0000, 0.5000) [4 per cell]
Cl (0.0000, 0.0000, 0.2652) [24 per cell]

The calculation puts the total energy at -149.03 eV/cell. The uncorrected formation energy comes out at -2045 kJ/mol of formula units.

=====

No. 7
Compound: Cs2MgTaCl6
Source: Alexandria
Functional: GGA-PBE
Structure: optimized geometry

Cell: 10.2929 10.2929 10.2929 Å, 90.00 90.00 90.00°
Space group Fm-3m (No. 225)
Asymmetric unit:
Cs (0.2500, 0.2500, 0.2500) [8 per cell]
Mg (0.0000, 0.0000, 0.0000) [4 per cell]
Ta (0.0000, 0.0000, 0.5000) [4 per cell]
Cl (0.0000, 0.0000, 0.2485) [24 per cell]

The calculation puts the total energy at -162.37 eV/cell. The uncorrected formation energy comes out at -1385 kJ/mol of formula units.

=====

No. 8
Compound: CsTbMgCl6
Source: Alexandria
Functional: GGA-PBE
Structure: optimized geometry

Cell: 6.8273 6.8273 7.7974 Å, 90.00 90.00 120.00°
Space group P312 (No. 149)
Asymmetric unit:
Cs (0.0000, 0.0000, 0.0000) [1 per cell]
Tb (0.6667, 0.3333, 0.5000) [1 per cell]
Mg (0.3333, 0.6667, 0.5000) [1 per cell]
Cl (0.0139, 0.3861, 0.6912) [6 per cell]

The calculation puts the total energy at -37.24 eV/cell. The uncorrected formation energy comes out at -1841 kJ/mol of formula units.

=====

No. 9
Compound: Cs2TbMgCl6
Source: Alexandria
Functional: GGA-PBE
Structure: optimized geometry

Cell: 7.8653 10.9153 7.9939 Å, 90.00 90.00 90.00°
Space group Pmmn (No. 59, origin choice 2)
Asymmetric unit:
Cs (0.2500, 0.0011, 0.2337) [4 per cell]
Tb (0.2500, 0.2500, 0.7286) [2 per cell]
Mg (0.2500, 0.7500, 0.7246) [2 per cell]
Cl (0.0035, 0.2500, 0.4888) [4 per cell]
Cl (0.0152, 0.2500, 0.9616) [4 per cell]
Cl (0.2500, 0.0064, 0.7077) [4 per cell]

The calculation puts the total energy at -75.77 eV/cell. The uncorrected formation energy comes out at -1821 kJ/mol of formula units.

=====

No. 10
Compound: Cs3Mg2TlCl8
Source: Alexandria
Functional: GGA-PBE
Structure: optimized geometry

Cell: 7.8448 7.8448 9.9151 Å, 90.00 90.00 120.00°
Space group P-3m1 (No. 164)
Asymmetric unit:
Cs (0.0000, 0.0000, 0.0000) [1 per cell]
Cs (0.3333, 0.6667, 0.6326) [2 per cell]
Mg (0.3333, 0.6667, 0.1983) [2 per cell]
Tl (0.0000, 0.0000, 0.5000) [1 per cell]
Cl (0.1753, 0.3505, 0.2978) [6 per cell]
Cl (0.3333, 0.6667, 0.9666) [2 per cell]

The calculation puts the total energy at -48.05 eV/cell. The uncorrected formation energy comes out at -2427 kJ/mol of formula units.

=====

No. 11
Compound: CsMgTl2Cl8
Source: Alexandria
Functional: GGA-PBE
Structure: optimized geometry

Cell: 6.8057 6.8057 9.6652 Å, 90.00 90.00 120.00°
Space group P-3 (No. 147)
Asymmetric unit:
Cs (0.0000, 0.0000, 0.0000) [1 per cell]
Mg (0.0000, 0.0000, 0.5000) [1 per cell]
Tl (0.3333, 0.6667, 0.7100) [2 per cell]
Cl (0.0353, 0.7195, 0.3457) [6 per cell]
Cl (0.3333, 0.6667, 0.9720) [2 per cell]

The calculation puts the total energy at -35.73 eV/cell. The uncorrected formation energy comes out at -1329 kJ/mol of formula units.

=====

No. 12
Compound: Cs2MgTl2Cl6
Source: Alexandria
Functional: GGA-PBE
Structure: optimized geometry

Cell: 8.5651 13.6988 7.4205 Å, 90.00 107.53 90.00°
Space group C2/m (No. 12)
Asymmetric unit:
Cs (0.0000, 0.1568, 0.0000) [4 per cell]
Mg (0.0000, 0.5000, 0.0000) [2 per cell]
Tl (0.0000, 0.3392, 0.5000) [4 per cell]
Cl (0.1754, 0.5000, 0.7649) [4 per cell]
Cl (0.1852, 0.3690, 0.2001) [8 per cell]

The calculation puts the total energy at -72.69 eV/cell. The uncorrected formation energy comes out at -1662 kJ/mol of formula units.

=====

No. 13
Compound: Cs3MgTl3Cl8
Source: Alexandria
Functional: GGA-PBE
Structure: optimized geometry

Cell: 9.5526 9.5526 22.0705 Å, 90.00 90.00 120.00°
Space group R-3m (No. 166, hexagonal axes)
Asymmetric unit:
Cs (0.0000, 0.5000, 0.0000) [9 per cell]
Mg (0.0000, 0.0000, 0.0000) [3 per cell]
Tl (0.0000, 0.5000, 0.5000) [9 per cell]
Cl (0.0000, 0.0000, 0.2426) [6 per cell]
Cl (0.0791, 0.5395, 0.7355) [18 per cell]

The calculation puts the total energy at -148.02 eV/cell. The uncorrected formation energy comes out at -2249 kJ/mol of formula units.

=====

No. 14
Compound: CsTmMgCl6
Source: Alexandria
Functional: GGA-PBE
Structure: optimized geometry

Cell: 6.7488 6.7488 7.8296 Å, 90.00 90.00 120.00°
Space group P312 (No. 149)
Asymmetric unit:
Cs (0.0000, 0.0000, 0.0000) [1 per cell]
Tm (0.6667, 0.3333, 0.5000) [1 per cell]
Mg (0.3333, 0.6667, 0.5000) [1 per cell]
Cl (0.0087, 0.3831, 0.6889) [6 per cell]

The calculation puts the total energy at -37.10 eV/cell. The uncorrected formation energy comes out at -1843 kJ/mol of formula units.

=====

No. 15
Compound: CsTmMg2Cl8
Source: Alexandria
Functional: GGA-PBE
Structure: optimized geometry

Cell: 6.6209 6.7066 9.3905 Å, 72.26 74.08 72.38°
Space group P-1 (No. 2)
Asymmetric unit:
Cs (0.0000, 0.0000, 0.0000) [1 per cell]
Tm (0.0000, 0.0000, 0.5000) [1 per cell]
Mg (0.4586, 0.4502, 0.2120) [2 per cell]
Cl (0.1855, 0.7143, 0.7205) [2 per cell]
Cl (0.2581, 0.7804, 0.3030) [2 per cell]
Cl (0.2734, 0.2325, 0.4462) [2 per cell]
Cl (0.3841, 0.3046, 0.0309) [2 per cell]

The calculation puts the total energy at -47.02 eV/cell. The uncorrected formation energy comes out at -2290 kJ/mol of formula units.

=====

No. 16
Compound: CsMgUCl6
Source: Alexandria
Functional: GGA-PBE
Structure: optimized geometry

Cell: 9.4267 10.0187 13.7677 Å, 90.00 90.00 90.00°
Space group Imma (No. 74)
Asymmetric unit:
Cs (0.0000, 0.2500, 0.0419) [4 per cell]
Mg (0.2500, 0.2500, 0.7500) [4 per cell]
U (0.0000, 0.0000, 0.5000) [4 per cell]
Cl (0.0000, 0.2500, 0.4116) [4 per cell]
Cl (0.0000, 0.2500, 0.7909) [4 per cell]
Cl (0.2233, 0.0673, 0.6196) [16 per cell]

The calculation puts the total energy at -163.45 eV/cell. The uncorrected formation energy comes out at -1548 kJ/mol of formula units.

=====

No. 17
Compound: CsMg2UCl8
Source: Alexandria
Functional: GGA-PBE
Structure: optimized geometry

Cell: 6.6688 6.6688 31.7298 Å, 90.00 90.00 120.00°
Space group R-3 (No. 148, hexagonal axes)
Asymmetric unit:
Cs (0.0000, 0.0000, 0.0000) [3 per cell]
Mg (0.0000, 0.0000, 0.2453) [6 per cell]
U (0.0000, 0.0000, 0.5000) [3 per cell]
Cl (0.0000, 0.0000, 0.3171) [6 per cell]
Cl (0.0002, 0.3309, 0.1148) [18 per cell]

The calculation puts the total energy at -154.24 eV/cell. The uncorrected formation energy comes out at -2056 kJ/mol of formula units.

=====

No. 18
Compound: Cs2MgVCl6
Source: Alexandria
Functional: GGA-PBE
Structure: optimized geometry

Cell: 7.3238 7.3238 36.0506 Å, 90.00 90.00 120.00°
Space group R-3m (No. 166, hexagonal axes)
Asymmetric unit:
Cs (0.0000, 0.0000, 0.1247) [6 per cell]
Cs (0.0000, 0.0000, 0.2908) [6 per cell]
Mg (0.0000, 0.0000, 0.0000) [3 per cell]
Mg (0.0000, 0.0000, 0.5000) [3 per cell]
V (0.0000, 0.0000, 0.4126) [6 per cell]
Cl (0.0013, 0.5006, 0.7072) [18 per cell]
Cl (0.0266, 0.5133, 0.1227) [18 per cell]

For the polymorph energy (0 for the lowest one), the calculation gives 0 meV/atom. The calculation puts the total energy at -244.30 eV/cell. The uncorrected formation energy comes out at -1661 kJ/mol of formula units.

=====

No. 19
Compound: Cs2MgVCl6
Source: Alexandria
Functional: GGA-PBE
Structure: optimized geometry

Cell: 10.2109 10.2109 10.2109 Å, 90.00 90.00 90.00°
Space group Fm-3m (No. 225)
Asymmetric unit:
Cs (0.2500, 0.2500, 0.2500) [8 per cell]
Mg (0.0000, 0.0000, 0.0000) [4 per cell]
V (0.0000, 0.0000, 0.5000) [4 per cell]
Cl (0.0000, 0.0000, 0.2513) [24 per cell]

For the polymorph energy (0 for the lowest one), the calculation gives 35 meV/atom. The calculation puts the total energy at -161.46 eV/cell. The uncorrected formation energy comes out at -1627 kJ/mol of formula units.

=====

No. 20
Compound: CsMgVCl6
Source: Alexandria
Functional: GGA-PBE
Structure: optimized geometry

Cell: 6.4500 6.4500 7.8473 Å, 90.00 90.00 120.00°
Space group P312 (No. 149)
Asymmetric unit:
Cs (0.0000, 0.0000, 0.0000) [1 per cell]
Mg (0.6667, 0.3333, 0.5000) [1 per cell]
V (0.3333, 0.6667, 0.5000) [1 per cell]
Cl (0.0138, 0.3816, 0.6775) [6 per cell]

The calculation puts the total energy at -37.30 eV/cell. The uncorrected formation energy comes out at -1414 kJ/mol of formula units.

=====

No. 21
Compound: CsYMgCl2
Source: Alexandria
Functional: GGA-PBE
Structure: optimized geometry

Cell: 6.0580 6.0580 6.8816 Å, 90.00 90.00 90.00°
Space group P4/mmm (No. 123)
Asymmetric unit:
Cs (0.0000, 0.0000, 0.0000) [1 per cell]
Y (0.0000, 0.0000, 0.5000) [1 per cell]
Mg (0.5000, 0.5000, 0.5000) [1 per cell]
Cl (0.0000, 0.5000, 0.0000) [2 per cell]

The calculation puts the total energy at -12.17 eV/cell. The uncorrected formation energy comes out at 42 kJ/mol of formula units.